(1)
Material: HoCuSb
Method: DFT, GGA-PBE
State: relaxed

spin magnetization: 0.00 μB/f.u.
energy relative to the elements, uncorrected: -0.65 eV per atom

Lattice parameters (Å, degrees): 4.3229 4.3229 4.0857 90.00 90.00 120.00
Space group P3m1 (No. 156)
Asymmetric unit:
Ho: 0.0000 0.0000 0.0000 (multiplicity 1)
Cu: 0.6667 0.3333 0.5481 (multiplicity 1)
Sb: 0.3333 0.6667 0.4908 (multiplicity 1)

***

(2)
Material: BaIn2BPd
Method: DFT, GGA-PBE
State: relaxed

energy of formation: 53.3 kJ per mole of atoms
spin magnetization: 0.98 μB/f.u.

Lattice parameters (Å, degrees): 5.1225 5.1225 6.0934 90.00 90.00 90.00
Space group P4/mmm (No. 123)
Asymmetric unit:
Ba: 0.0000 0.0000 0.0000 (multiplicity 1)
In: 0.0000 0.5000 0.5000 (multiplicity 2)
B: 0.5000 0.5000 0.0000 (multiplicity 1)
Pd: 0.0000 0.0000 0.5000 (multiplicity 1)

***

(3)
Material: Ca2ZnNi5B2
Method: DFT, GGA-PBE
State: relaxed

energy of formation: -20.0 kJ per mole of atoms
spin magnetization: 0.00 μB/f.u.

Lattice parameters (Å, degrees): 9.2586 9.2586 2.9924 90.00 90.00 90.00
Space group P4/mbm (No. 127)
Asymmetric unit:
Ca: 0.1793 0.3207 0.0000 (multiplicity 4)
Zn: 0.0000 0.0000 0.0000 (multiplicity 2)
Ni: 0.0000 0.5000 0.5000 (multiplicity 2)
Ni: 0.0681 0.7663 0.5000 (multiplicity 8)
B: 0.1170 0.6170 0.0000 (multiplicity 4)

***

(4)
Material: Sm12Sn3N5
Method: DFT, GGA-PBE
State: relaxed

spin magnetization: 0.00 μB/f.u.
energy relative to the elements, uncorrected: -0.89 eV per atom

Lattice parameters (Å, degrees): 16.0025 16.0025 16.0025 90.00 90.00 90.00
Space group Ia-3d (No. 230)
Asymmetric unit:
Sm: 0.0373 0.0501 0.6474 (multiplicity 96)
Sn: 0.0000 0.2500 0.1250 (multiplicity 24)
N: 0.0000 0.0000 0.0000 (multiplicity 16)
N: 0.0000 0.2500 0.3750 (multiplicity 24)

***

Which formula does entry 3 have?
Ca2ZnNi5B2

***

What is the spin magnetization in the first record?
0.00 μB/f.u.

***

Number 2 is which compound?
BaIn2BPd

***

Please write out number 1 again, unchanged.
Material: HoCuSb
Method: DFT, GGA-PBE
State: relaxed

spin magnetization: 0.00 μB/f.u.
energy relative to the elements, uncorrected: -0.65 eV per atom

Lattice parameters (Å, degrees): 4.3229 4.3229 4.0857 90.00 90.00 120.00
Space group P3m1 (No. 156)
Asymmetric unit:
Ho: 0.0000 0.0000 0.0000 (multiplicity 1)
Cu: 0.6667 0.3333 0.5481 (multiplicity 1)
Sb: 0.3333 0.6667 0.4908 (multiplicity 1)